A relaxed structure of CeMgGa2Au5. Source: Alexandria via LeMat-Bulk, functional PBE.

Summary:
space group	P4/mmm
energy of formation from the pure elements	-0.3416	eV/atom
final energy	-33.043	eV/cell

a b c (Å): 4.8847 4.8847 7.9419
angles (deg): 90.00 90.00 90.00
Atoms (fractional coordinates):
Ce  0.0000  0.0000  0.0000
Mg  0.0000  0.0000  0.5000
Ga  0.5000  0.5000  0.3450
Ga  0.5000  0.5000  0.6550
Au  0.0000  0.5000  0.2455
Au  0.0000  0.5000  0.7545
Au  0.5000  0.0000  0.2455
Au  0.5000  0.0000  0.7545
Au  0.5000  0.5000  0.0000

A relaxed structure of CeMgGa2Au4. Source: Alexandria via LeMat-Bulk, functional PBE.

Summary:
space group	R-3m
energy of formation from the pure elements	-0.5042	eV/atom
final energy	-30.725	eV/cell

a b c (Å): 9.1256 9.1256 9.1256
angles (deg): 28.98 28.98 28.98
Atoms (fractional coordinates):
Ce  0.0000  0.0000  0.0000
Mg  0.5000  0.5000  0.5000
Ga  0.2463  0.2463  0.2463
Ga  0.7537  0.7537  0.7537
Au  0.1329  0.1329  0.1329
Au  0.3938  0.3938  0.3938
Au  0.6062  0.6062  0.6062
Au  0.8671  0.8671  0.8671

Please write out number 1 again, unchanged.
A relaxed structure of CeMgGa2Au5. Source: Alexandria via LeMat-Bulk, functional PBE.

Summary:
space group	P4/mmm
energy of formation from the pure elements	-0.3416	eV/atom
final energy	-33.043	eV/cell

a b c (Å): 4.8847 4.8847 7.9419
angles (deg): 90.00 90.00 90.00
Atoms (fractional coordinates):
Ce  0.0000  0.0000  0.0000
Mg  0.0000  0.0000  0.5000
Ga  0.5000  0.5000  0.3450
Ga  0.5000  0.5000  0.6550
Au  0.0000  0.5000  0.2455
Au  0.0000  0.5000  0.7545
Au  0.5000  0.0000  0.2455
Au  0.5000  0.0000  0.7545
Au  0.5000  0.5000  0.0000

Copy entry 2 word for word.
A relaxed structure of CeMgGa2Au4. Source: Alexandria via LeMat-Bulk, functional PBE.

Summary:
space group	R-3m
energy of formation from the pure elements	-0.5042	eV/atom
final energy	-30.725	eV/cell

a b c (Å): 9.1256 9.1256 9.1256
angles (deg): 28.98 28.98 28.98
Atoms (fractional coordinates):
Ce  0.0000  0.0000  0.0000
Mg  0.5000  0.5000  0.5000
Ga  0.2463  0.2463  0.2463
Ga  0.7537  0.7537  0.7537
Au  0.1329  0.1329  0.1329
Au  0.3938  0.3938  0.3938
Au  0.6062  0.6062  0.6062
Au  0.8671  0.8671  0.8671

> Among the records above, which one has the lowest final energy?

CeMgGa2Au5

> final energy of number 1 (CeMgGa2Au5)?

-33.043 eV/cell